Computed, not measured: Pa3MnTl4O12 after structural relaxation at the GGA+U level of DFT.

```
Pa3MnTl4O12
1.0
7.433 0.000 0.000
-2.478 7.008 0.000
-2.478 -3.504 6.069
O Pa Tl Mn
12 3 4 1
Direct
0.500 0.250 0.750
0.762 0.000 0.762
0.238 0.238 0.000
0.750 0.500 0.250
0.500 0.750 0.250
0.238 0.000 0.238
0.000 0.238 0.238
0.250 0.500 0.750
0.000 0.762 0.762
0.750 0.250 0.500
0.250 0.750 0.500
0.762 0.762 0.000
0.500 0.000 0.500
0.500 0.500 0.000
0.000 0.500 0.500
0.000 0.000 0.500
0.000 0.500 0.000
0.500 0.000 0.000
0.500 0.500 0.500
0.000 0.000 0.000
```

Summary:
The calculation puts the size of the total moment at 2.6 μB per cell. The total energy comes out at -7.46 eV/atom. The space group is Im-3m.